No. 1
Density functional theory data (GGA-PBEsol) for crystalline Dy4Te3N2 at its relaxed geometry.

Geometry as POSCAR:
```
Dy4Te3N2
1.0
-1.225 -5.774 -4.106
6.937 -5.513 6.240
-8.714 -3.095 6.953
N Te Dy
8 12 16
Cartesian
-0.293 -9.912 5.004
-0.598 -3.039 2.571
-2.709 -4.471 4.083
-7.363 -5.766 7.299
-2.404 -11.344 6.516
4.362 -8.617 1.788
-5.133 -5.655 5.348
2.132 -8.728 3.739
-3.208 -5.095 0.227
-3.648 -8.099 8.060
-2.418 -8.023 2.719
-5.416 -9.966 4.917
-0.583 -6.360 6.368
-6.101 -7.652 1.588
3.100 -6.731 7.499
-8.746 -7.940 4.452
2.414 -4.417 4.170
0.646 -6.284 1.027
0.207 -9.288 8.860
5.744 -6.443 4.635
-4.409 -5.609 3.257
1.411 -2.114 2.481
0.248 -9.573 2.903
-2.321 -9.282 5.608
-2.241 -11.110 8.725
1.408 -8.774 5.830
-6.097 -7.335 6.413
3.096 -7.048 2.674
-6.797 -4.214 5.834
-3.250 -4.810 6.184
-0.633 -12.052 5.399
-2.368 -2.331 3.688
-4.413 -12.269 6.606
3.796 -10.169 3.253
-0.681 -5.101 3.479
-0.760 -3.273 0.362
```

Computed properties:
The formation energy without anion corrections comes out at -1.612 eV per atom.



No. 2
Density functional theory data (GGA-PBEsol) for crystalline Dy3Te3N at its relaxed geometry.

Geometry as POSCAR:
```
Dy3Te3N
1.0
8.013 -0.041 0.000
-2.830 8.027 0.000
0.000 0.000 11.829
Te Dy N
12 12 4
Cartesian
-1.006 3.916 8.130
-2.421 7.930 9.613
1.619 6.510 9.045
-0.756 7.388 5.662
2.150 5.490 3.131
5.939 0.597 6.166
6.189 4.069 3.699
0.659 3.375 0.252
3.565 1.476 2.783
4.525 4.611 11.576
3.033 2.496 8.697
7.604 0.056 2.216
2.371 6.860 0.242
1.397 5.139 6.156
5.929 2.331 1.056
4.288 5.265 8.383
3.786 2.847 5.672
5.703 1.252 9.360
-0.519 6.734 2.468
4.514 6.345 4.858
0.895 2.720 3.446
-0.746 5.654 10.773
0.669 1.641 6.970
2.812 1.125 11.587
3.639 4.975 6.319
0.130 7.024 0.405
5.054 0.962 11.424
1.544 3.010 5.509
```

Computed properties:
The formation energy without anion corrections comes out at -1.540 eV per atom.



No. 3
Density functional theory data (GGA-PBEsol) for crystalline NaDy3 at its relaxed geometry.

Geometry as POSCAR:
```
NaDy3
1.0
-1.361 -2.889 4.507
-0.747 -5.462 -0.342
3.668 -3.438 2.289
Dy Na
3 1
Cartesian
0.390 -2.947 1.613
1.170 -8.842 4.840
0.780 -5.895 3.226
0.000 0.000 0.000
```

Computed properties:
The calculation puts the energy relative to the elements at 0.33 eV/atom.



No. 4
Density functional theory data (GGA-PBEsol) for crystalline NaDyO2 at its relaxed geometry.

Geometry as POSCAR:
```
NaDyO2
1.0
-4.104 3.029 -2.985
-2.121 -2.426 5.091
4.750 5.147 2.226
O Dy Na
8 4 4
Cartesian
0.999 4.256 3.911
0.125 1.328 2.676
-2.475 1.495 0.420
-1.283 -1.023 4.010
-0.192 6.773 0.322
-1.600 4.422 1.655
1.591 3.891 0.943
-3.067 1.859 3.388
-1.866 0.278 2.240
0.391 5.473 2.091
2.030 2.584 2.757
-3.506 3.166 1.575
-0.435 2.723 0.437
-2.895 2.881 -1.872
1.420 2.870 6.203
-1.040 3.027 3.895
```

Computed properties:
The formation energy without anion corrections comes out at -2.841 eV per atom.



No. 5
Density functional theory data (GGA-PBEsol) for crystalline NaDyO2 at its relaxed geometry.

Geometry as POSCAR:
```
NaDyO2
1.0
-1.096 3.335 -2.922
-4.425 -1.007 0.510
2.455 2.157 5.110
Dy O Na
2 4 2
Cartesian
-0.700 3.328 0.491
-2.761 1.164 -1.206
-0.835 4.796 2.217
-0.565 1.859 -1.235
-0.170 1.852 2.177
-2.896 2.632 0.521
0.000 0.000 0.000
-2.365 1.157 2.207
```

Computed properties:
The formation energy without anion corrections comes out at -2.836 eV per atom.



No. 6
Density functional theory data (GGA-PBEsol) for crystalline NaDyO2 at its relaxed geometry.

Geometry as POSCAR:
```
NaDyO2
1.0
3.388 0.000 0.000
1.694 2.934 0.000
1.694 0.978 5.501
O Dy Na
2 1 1
Cartesian
1.694 0.978 1.163
5.082 2.934 4.338
0.000 0.000 0.000
3.388 1.956 2.751
```

Computed properties:
The formation energy without anion corrections comes out at -2.835 eV per atom.